[1]
Below is crystalline NbAgPb2N at its relaxed geometry, with properties calculated at the GGA-PBE level.

Lattice parameters (Å, degrees): 5.744 5.744 3.948 90.00 90.00 90.00
Fractional coordinates of all 5 atoms:
Nb 0.000 0.000 0.000
Ag 0.500 0.500 0.500
Pb 0.000 0.500 0.000
Pb 0.500 0.000 0.000
N 0.000 0.000 0.500

Formation energy from raw total energies: 0.49 eV per atom

[2]
Below is crystalline LiCa4F10 at its relaxed geometry, with properties calculated at the GGA-PBE level.

Lattice parameters (Å, degrees): 15.102 15.102 15.102 14.82 14.82 14.82
Fractional coordinates of all 15 atoms:
Li 0.000 0.000 0.000
Ca 0.202 0.202 0.202
Ca 0.394 0.394 0.394
Ca 0.606 0.606 0.606
Ca 0.798 0.798 0.798
F 0.043 0.043 0.043
F 0.149 0.149 0.149
F 0.256 0.256 0.256
F 0.337 0.337 0.337
F 0.446 0.446 0.446
F 0.554 0.554 0.554
F 0.663 0.663 0.663
F 0.744 0.744 0.744
F 0.851 0.851 0.851
F 0.957 0.957 0.957

Formation energy from raw total energies: -3.50 eV per atom

[3]
Below is crystalline NaTl2TcF8 at its relaxed geometry, with properties calculated at the GGA-PBE level.

Lattice parameters (Å, degrees): 5.168 6.070 7.392 89.87 89.93 84.61
Fractional coordinates of all 12 atoms:
Na 0.000 0.000 0.000
Tl 0.499 0.500 0.748
Tl 0.501 0.500 0.252
Tc 0.000 0.000 0.500
F 0.103 0.191 0.693
F 0.103 0.194 0.308
F 0.329 0.727 0.000
F 0.335 0.838 0.499
F 0.665 0.162 0.501
F 0.671 0.273 0.000
F 0.897 0.806 0.692
F 0.897 0.809 0.307

Formation energy from raw total energies: -2.11 eV per atom

[4]
Below is crystalline GaTcPCl2 at its relaxed geometry, with properties calculated at the GGA-PBE level.

Lattice parameters (Å, degrees): 4.688 4.688 5.095 90.00 90.00 90.00
Fractional coordinates of all 5 atoms:
Ga 0.000 0.000 0.000
Tc 0.500 0.500 0.500
P 0.000 0.000 0.500
Cl 0.000 0.500 0.000
Cl 0.500 0.000 0.000

Formation energy from raw total energies: 0.63 eV per atom
Energy relative to the lowest polymorph listed for this composition: 3.10 eV per formula unit

[5]
Below is crystalline Al2Ga2Au at its relaxed geometry, with properties calculated at the GGA-PBE level.

Lattice parameters (Å, degrees): 6.686 6.686 4.252 90.00 90.00 90.00
Fractional coordinates of all 10 atoms:
Al 0.141 0.359 0.000
Al 0.359 0.859 0.000
Al 0.641 0.141 0.000
Al 0.859 0.641 0.000
Ga 0.161 0.661 0.500
Ga 0.339 0.161 0.500
Ga 0.661 0.839 0.500
Ga 0.839 0.339 0.500
Au 0.000 0.000 0.000
Au 0.500 0.500 0.000

Formation enthalpy at 0 K: -0.05 eV/atom
Energy relative to the lowest polymorph listed for this composition: 0.00 eV per formula unit

[6]
Below is crystalline Cd2AsPd5 at its relaxed geometry, with properties calculated at the GGA-PBE level.

Lattice parameters (Å, degrees): 5.904 5.904 4.616 90.00 90.00 90.00
Fractional coordinates of all 8 atoms:
Cd 0.000 0.500 0.000
Cd 0.500 0.000 0.000
As 0.000 0.000 0.500
Pd 0.000 0.000 0.000
Pd 0.277 0.277 0.500
Pd 0.277 0.723 0.500
Pd 0.723 0.277 0.500
Pd 0.723 0.723 0.500

Formation enthalpy at 0 K: -0.05 eV/atom

no.,E (eV per atom)
1,-5.239
2,-5.413
3,-4.721
4,-3.866
5,-3.411
6,-4.101